1.
5
Lattice="5.161 0.000 0.000 0.000 5.161 0.000 0.000 0.000 4.754" Properties=species:S:1:pos:R:3 comment="LiSnBiMo2 PBE optimized geometry" vol_a3_per_atom=25.3 n_ef_per_ev_cell=4.18 formation_energy_ev_per_atom=1.195 pbc="T T T"
Li 0.000 0.000 0.000
Sn 0.000 0.000 2.377
Bi 2.580 2.580 0.000
Mo 0.000 2.580 2.377
Mo 2.580 0.000 2.377

---

2.
5
Lattice="5.874 0.000 0.000 0.000 5.874 0.000 0.000 0.000 4.649" Properties=species:S:1:pos:R:3 comment="SrLiBi2Mo PBE optimized geometry" vol_a3_per_atom=32.1 n_ef_per_ev_cell=10.92 formation_energy_ev_per_atom=1.689 pbc="T T T"
Sr 0.000 0.000 0.000
Li 0.000 0.000 2.325
Bi 0.000 2.937 0.000
Bi 2.937 0.000 0.000
Mo 2.937 2.937 2.325

---

3.
4
Lattice="0.000 3.129 3.129 3.129 0.000 3.129 3.129 3.129 0.000" Properties=species:S:1:pos:R:3 comment="Li2BiN PBE optimized geometry" vol_a3_per_atom=15.3 formation_energy_uncorrected_ev_per_atom=0.548 n_ef_per_ev_cell=1.69 pbc="T T T"
Li 1.565 1.565 1.565
Li 4.694 4.694 4.694
Bi 0.000 0.000 0.000
N 3.129 3.129 3.129